[1]
Co2RuBr after structural relaxation, computed with PBE-GGA.

Formation energy (no corrections): 0.63 eV/atom
Energy above the most stable polymorph in this dataset: 0.109 eV/atom
Calculated volume: 15.33 A^3/atom
D(E_F): 4.55 states/eV/cell
ρ: 8.09 g cm⁻³
Crystal system: tetragonal
SG: P4/mmm, No. 123

Cell: 3.0783 3.0783 6.4715 Å, 90.00 90.00 90.00°
Positions (direct):
Co (0.0000, 0.0000, 0.2092)
Co (0.0000, 0.0000, 0.7908)
Ru (0.5000, 0.5000, 0.0000)
Br (0.5000, 0.5000, 0.5000)

***

[2]
ZnIr2Os after structural relaxation, computed with PBE-GGA.

Energy relative to the elements: -1.9 kcal/mol of atoms
Calculated volume: 14.38 A^3/atom
D(E_F): 1.90 states/eV/cell
ρ: 18.48 g cm⁻³
Crystal system: tetragonal
SG: P4/mmm, No. 123

Cell: 2.7626 2.7626 7.5347 Å, 90.00 90.00 90.00°
Positions (direct):
Zn (0.0000, 0.0000, 0.0000)
Ir (0.5000, 0.5000, 0.2551)
Ir (0.5000, 0.5000, 0.7449)
Os (0.0000, 0.0000, 0.5000)

***

[3]
Ca2PuHg6 after structural relaxation, computed with PBE-GGA.

Energy relative to the elements: -7.9 kcal/mol of atoms
Calculated volume: 25.33 A^3/atom
D(E_F): 13.04 states/eV/cell
ρ: 11.13 g cm⁻³
Crystal system: hexagonal
SG: P6/mmm, No. 191

Cell: 8.7526 8.7526 3.4367 Å, 90.00 90.00 120.00°
Positions (direct):
Ca (0.3333, 0.6667, 0.0000)
Ca (0.6667, 0.3333, 0.0000)
Pu (0.0000, 0.0000, 0.0000)
Hg (0.0000, 0.3344, 0.5000)
Hg (0.0000, 0.6656, 0.5000)
Hg (0.3344, 0.0000, 0.5000)
Hg (0.3344, 0.3344, 0.5000)
Hg (0.6656, 0.0000, 0.5000)
Hg (0.6656, 0.6656, 0.5000)

***

[4]
CaNdCuNi after structural relaxation, computed with PBE-GGA.

Energy relative to the elements: -2.8 kcal/mol of atoms
Energy above the most stable polymorph in this dataset: 0.082 eV/atom
Calculated volume: 21.56 A^3/atom
D(E_F): 4.26 states/eV/cell
ρ: 5.90 g cm⁻³
Crystal system: cubic
SG: F-43m, No. 216

Cell: 4.9594 4.9594 4.9594 Å, 60.00 60.00 60.00°
Positions (direct):
Ca (0.0000, 0.0000, 0.0000)
Nd (0.5000, 0.5000, 0.5000)
Cu (0.7500, 0.7500, 0.7500)
Ni (0.2500, 0.2500, 0.2500)

***

[5]
Na2GaAuO4 after structural relaxation, computed with PBE-GGA.

Formation energy (no corrections): -1.21 eV/atom
Calculated volume: 13.25 A^3/atom
D(E_F): 0.00 states/eV/cell
ρ: 5.90 g cm⁻³
Crystal system: tetragonal
SG: I-4, No. 82

Cell: 5.1672 5.1672 5.1672 Å, 110.83 110.83 106.79°
Positions (direct):
Na (0.0000, 0.0000, 0.0000)
Na (0.7500, 0.2500, 0.5000)
Ga (0.2500, 0.7500, 0.5000)
Au (0.5000, 0.5000, 0.0000)
O (0.2435, 0.7077, 0.8487)
O (0.2923, 0.1410, 0.5358)
O (0.6052, 0.7565, 0.4642)
O (0.8590, 0.3948, 0.1513)

***

[6]
CeTh2Te after structural relaxation, computed with PBE-GGA.

Formation energy (no corrections): -0.29 eV/atom
Energy above the most stable polymorph in this dataset: 0.134 eV/atom
Calculated volume: 29.88 A^3/atom
D(E_F): 9.91 states/eV/cell
ρ: 10.17 g cm⁻³
Crystal system: tetragonal
SG: P4/mmm, No. 123

Cell: 4.1358 4.1358 6.9872 Å, 90.00 90.00 90.00°
Positions (direct):
Ce (0.0000, 0.0000, 0.0000)
Th (0.5000, 0.5000, 0.2510)
Th (0.5000, 0.5000, 0.7490)
Te (0.0000, 0.0000, 0.5000)